1.
! RbTcHg2C PBE-GGA relaxed; values from VASP
&SYSTEM
  ibrav = 0, nat = 5, ntyp = 4
/
ATOMIC_SPECIES
Hg 200.59 Hg.upf
Tc 98.00 Tc.upf
C 12.01 C.upf
Rb 85.47 Rb.upf
ATOMIC_POSITIONS angstrom
Hg 1.584 2.169 0.956
Tc 1.615 -1.119 -0.136
Hg -0.393 -0.894 2.679
C 0.000 0.000 0.000
Rb 2.806 0.157 3.499
CELL_PARAMETERS angstrom
-0.786 -1.788 5.358
3.230 -2.238 -0.273
3.168 4.339 1.912
! - size of the total moment (μB per formula unit) = 1.8
! - symmetry = No. 123
! - density of states at the Fermi level (states/eV/atom) = 1.0141
! - formation energy from the elements (eV/atom) = 0.95

***

2.
! Sr3Er2PaSb6 PBE-GGA relaxed; values from VASP
&SYSTEM
  ibrav = 0, nat = 12, ntyp = 4
/
ATOMIC_SPECIES
Sr 87.62 Sr.upf
Er 167.26 Er.upf
Sb 121.76 Sb.upf
Pa 231.04 Pa.upf
ATOMIC_POSITIONS angstrom
Sr -2.585 4.497 3.806
Er 0.002 4.505 0.000
Sb 3.889 2.278 5.928
Sb -1.288 2.227 1.684
Er 3.901 2.253 0.000
Sr 1.301 2.252 3.806
Sr 5.187 0.008 3.806
Sb 2.573 -0.002 1.684
Pa 0.000 0.000 0.000
Sb 0.029 4.507 5.928
Sb 2.618 4.532 1.686
Sb -0.016 -0.028 5.926
CELL_PARAMETERS angstrom
7.807 -0.002 0.000
-3.903 6.761 0.000
-1.302 -2.254 7.612
! - size of the total moment (μB per formula unit) = 0.0
! - symmetry = No. 12
! - density of states at the Fermi level (states/eV/atom) = 0.6697
! - E_form (uncorrected) (eV/f.u.) = -11.12

***

3.
! KBeMo2 PBE-GGA relaxed; values from VASP
&SYSTEM
  ibrav = 0, nat = 4, ntyp = 3
/
ATOMIC_SPECIES
Mo 95.94 Mo.upf
Be 9.01 Be.upf
K 39.10 K.upf
ATOMIC_POSITIONS angstrom
Mo -0.909 -3.465 3.602
Be -0.740 -11.154 0.899
Mo -0.536 -7.027 0.908
K -0.247 -3.718 0.300
CELL_PARAMETERS angstrom
-1.274 -5.845 -1.613
1.239 -5.970 -1.099
-0.952 -3.057 3.911
! - size of the total moment (μB per formula unit) = 0.0
! - symmetry = No. 71
! - density of states at the Fermi level (states/eV/atom) = 0.8396
! - formation energy from the elements (eV/atom) = 0.95

***

4.
! TlTcAu2 PBE-GGA relaxed; values from VASP
&SYSTEM
  ibrav = 0, nat = 4, ntyp = 3
/
ATOMIC_SPECIES
Au 196.97 Au.upf
Tc 98.00 Tc.upf
Tl 204.38 Tl.upf
ATOMIC_POSITIONS angstrom
Au 1.521 1.532 2.122
Tc 0.000 0.000 3.897
Au 0.000 0.000 0.143
Tl 1.521 1.532 5.941
CELL_PARAMETERS angstrom
3.053 0.012 0.000
-0.012 3.053 0.000
0.000 0.000 8.069
! - size of the total moment (μB per formula unit) = 1.5
! - symmetry = No. 99
! - density of states at the Fermi level (states/eV/atom) = 0.6974
! - offset from the most stable computed form (meV per atom) = 46
! - formation energy from the elements (eV/atom) = 0.45

***

5.
! AcAl4Pd8 PBE-GGA relaxed; values from VASP
&SYSTEM
  ibrav = 0, nat = 13, ntyp = 3
/
ATOMIC_SPECIES
Al 26.98 Al.upf
Pd 106.42 Pd.upf
Ac 227.00 Ac.upf
ATOMIC_POSITIONS angstrom
Al 4.080 3.158 0.000
Pd 5.440 1.438 4.879
Pd 5.440 4.173 4.173
Al 4.080 0.000 3.158
Pd 2.720 2.143 4.173
Pd 5.440 4.879 1.438
Al 1.360 0.000 3.158
Pd 8.160 4.879 4.879
Al 1.360 3.158 0.000
Pd 2.720 1.438 1.438
Pd 2.720 4.173 2.143
Ac 0.000 0.000 0.000
Pd 5.440 2.143 2.143
CELL_PARAMETERS angstrom
5.440 0.000 0.000
2.720 6.316 0.000
2.720 0.000 6.316
! - size of the total moment (μB per formula unit) = 0.0
! - symmetry = No. 139
! - density of states at the Fermi level (states/eV/atom) = 0.5117
! - formation energy from the elements (eV/atom) = -0.78

***

6.
! GaBiPb3 PBE-GGA relaxed; values from VASP
&SYSTEM
  ibrav = 0, nat = 5, ntyp = 3
/
ATOMIC_SPECIES
Pb 207.20 Pb.upf
Ga 69.72 Ga.upf
Bi 208.98 Bi.upf
ATOMIC_POSITIONS angstrom
Pb 3.033 0.000 0.000
Ga 3.033 3.033 3.033
Bi 0.000 0.000 0.000
Pb 0.000 0.000 3.033
Pb 0.000 3.033 0.000
CELL_PARAMETERS angstrom
6.066 0.000 0.000
0.000 6.066 0.000
0.000 0.000 6.066
! - size of the total moment (μB per formula unit) = 0.0
! - symmetry = No. 221
! - density of states at the Fermi level (states/eV/atom) = 0.8767
! - offset from the most stable computed form (meV per atom) = 654
! - formation energy from the elements (eV/atom) = 0.71

***

> Which value of size of the total moment does entry 3 give?

0.0 μB per formula unit

***

> Number 1 is which compound?

RbTcHg2C

***

> What is the density of states at the Fermi level in the third record?

0.8396 states/eV/atom